# 1
Density functional theory data (PBE) for Ba3NbCr after structural relaxation.

```
Ba3NbCr
1.0
-2.3318 5.4651 -1.2951
-4.0082 -2.6015 -3.7615
-3.9344 -0.5887 4.5996
Ba Nb Cr
3 1 1
Cartesian
-1.9672 -0.2943 2.2998
-1.1659 2.7326 -0.6475
-2.0041 -1.3007 -1.8807
0.0000 0.0000 0.0000
-5.1372 1.1375 -0.2285
```

Magnetic moment   4.9 μB per formula unit
V   224.9 Å³/cell
Offset from the most stable computed form   0 meV per atom
Space group   No. 221
Energy relative to the elements   1.141 eV per atom



# 2
Density functional theory data (PBE) for ScIr2 after structural relaxation.

```
ScIr2
1.0
-3.0348 0.3995 6.5249
0.2591 -1.3124 -7.0820
1.2627 -4.3605 0.8543
Ir Sc
4 2
Cartesian
0.1996 -2.2075 -5.3186
-0.8845 -1.6441 -0.8403
-0.6285 -3.6293 1.1374
-1.7126 -3.0659 5.6158
0.4975 -4.2145 -3.5138
-2.0105 -1.0590 3.8110
```

Magnetic moment   0.0 μB per formula unit
V   96.9 Å³/cell
Space group   No. 63
Energy relative to the elements   -0.268 eV per atom



# 3
Density functional theory data (PBE) for LiZr2W after structural relaxation.

```
LiZr2W
1.0
2.8028 0.0000 0.0000
0.0000 4.8219 0.0000
0.0000 0.0000 5.7945
Li W Zr
1 1 2
Cartesian
0.0000 0.0000 2.8707
1.4014 2.4110 4.4864
0.0000 0.0000 5.6213
1.4014 2.4110 1.5079
```

Magnetic moment   0.0 μB per formula unit
V   78.3 Å³/cell
Space group   No. 25
Energy relative to the elements   0.393 eV per atom



# 4
Density functional theory data (PBE) for LaSi2Sn2Pt7 after structural relaxation.

```
LaSi2Sn2Pt7
1.0
3.9795 -0.0033 -0.0033
0.0015 3.9795 -0.0033
1.9733 1.9708 15.3778
Si Pt La Sn
2 7 1 2
Cartesian
1.9949 1.9925 3.7125
3.9594 3.9546 11.6588
1.9706 3.9569 13.0010
3.9837 1.9902 2.3702
1.9836 1.9811 6.0482
3.9708 3.9659 9.3230
1.9950 3.9813 2.3702
3.9593 1.9658 13.0010
1.9905 1.9881 -0.0033
0.0000 0.0000 0.0000
1.9781 1.9757 8.8621
3.9762 3.9713 6.5091
```

Uncorrected formation energy   -0.632 eV/atom
Magnetic moment   0.0 μB per formula unit
V   243.6 Å³/cell
Space group   No. 12